{"formula": "Pr2CoF8", "functional": "PBE+U", "state": "optimized geometry", "e_tot_ev_per_cell": -67.8, "sg": "C2/m", "mass_density_g_cm3": 5.88, "cell": [[3.842, 0.000, -0.966], [-0.293, 5.199, -1.166], [-0.209, -1.123, 7.291]], "species": ["Co", "F", "F", "F", "F", "F", "F", "F", "F", "Pr", "Pr"], "frac_coords": [[0.500, 0.000, 0.000], [0.979, 0.210, 0.958], [0.021, 0.790, 0.042], [0.592, 0.395, 0.183], [0.661, 0.954, 0.322], [0.779, 0.694, 0.558], [0.221, 0.306, 0.442], [0.408, 0.605, 0.817], [0.339, 0.046, 0.678], [0.164, 0.668, 0.329], [0.836, 0.332, 0.671]]}